No. 1
{
  "formula": "ZrScCoTc",
  "functional": "PBE-GGA",
  "state": "relaxed",
  "de_polymorph_ev_per_fu": 0.00,
  "spacegroup": "No. 216",
  "final_energy_ev_per_atom": -8.403,
  "formation_enthalpy_0k_mev_per_atom": -315,
  "cell": [[0.000, 3.211, 3.211], [3.211, 0.000, 3.211], [3.211, 3.211, 0.000]],
  "species": ["Zr", "Sc", "Co", "Tc"],
  "frac_coords": [[0.000, 0.000, 0.000], [0.500, 0.500, 0.500], [0.750, 0.750, 0.750], [0.250, 0.250, 0.250]]
}



No. 2
{
  "formula": "PmEuAsRh",
  "functional": "PBE-GGA",
  "state": "relaxed",
  "spacegroup": "No. 216",
  "final_energy_ev_per_atom": -7.503,
  "formation_enthalpy_0k_mev_per_atom": -746,
  "cell": [[0.000, 3.594, 3.594], [3.594, 0.000, 3.594], [3.594, 3.594, 0.000]],
  "species": ["Pm", "Eu", "As", "Rh"],
  "frac_coords": [[0.000, 0.000, 0.000], [0.500, 0.500, 0.500], [0.750, 0.750, 0.750], [0.250, 0.250, 0.250]]
}